1.
# PBE Ca2SiMo, optimized geometry
# - formation energy without anion corrections (eV per atom) = 0.504
# - D(E_F) (states/eV/f.u.) = 3.36
# - electronic total energy (eV per atom) = -4.561
# - ρ (g/cm³) = 3.74
data_Ca2SiMo
_chemical_formula_sum 'Ca2 Si1 Mo1'
_cell_length_a 3.856
_cell_length_b 3.856
_cell_length_c 6.088
_cell_angle_alpha 90.00
_cell_angle_beta 90.00
_cell_angle_gamma 90.00
_symmetry_space_group_name_H-M 'P 4/m m m'
_symmetry_Int_Tables_number 123
_symmetry_space_group_name_Hall '-P 4 2'
loop_
_atom_site_label
_atom_site_fract_x
_atom_site_fract_y
_atom_site_fract_z
Ca1 0.000 0.000 0.242
Si1 0.500 0.500 0.000
Mo1 0.500 0.500 0.500



2.
# PBE Ca2SiMo, optimized geometry
# - formation energy without anion corrections (eV per atom) = 0.157
# - D(E_F) (states/eV/f.u.) = 4.89
# - electronic total energy (eV per atom) = -4.907
# - ρ (g/cm³) = 3.35
data_Ca2SiMo
_chemical_formula_sum 'Ca4 Si2 Mo2'
_cell_length_a 4.112
_cell_length_b 4.301
_cell_length_c 11.459
_cell_angle_alpha 90.00
_cell_angle_beta 90.00
_cell_angle_gamma 90.00
_symmetry_space_group_name_H-M 'A m m 2'
_symmetry_Int_Tables_number 38
loop_
_symmetry_equiv_pos_as_xyz
'x,y,z'
'-x,-y,z'
'-x,y,z'
'x,-y,z'
'x,y+1/2,z+1/2'
'-x,-y+1/2,z+1/2'
'-x,y+1/2,z+1/2'
'x,-y+1/2,z+1/2'
loop_
_atom_site_label
_atom_site_fract_x
_atom_site_fract_y
_atom_site_fract_z
Ca1 0.000 0.000 0.000
Ca2 0.500 0.000 0.288
Si1 0.500 0.000 0.587
Mo1 0.000 0.000 0.698



3.
# PBE Ca2SiMo, optimized geometry
# - formation energy without anion corrections (eV per atom) = 0.463
# - D(E_F) (states/eV/f.u.) = 4.07
# - electronic total energy (eV per atom) = -4.601
# - ρ (g/cm³) = 4.14
data_Ca2SiMo
_chemical_formula_sum 'Ca4 Si2 Mo2'
_cell_length_a 4.157
_cell_length_b 4.157
_cell_length_c 9.469
_cell_angle_alpha 90.00
_cell_angle_beta 90.00
_cell_angle_gamma 90.00
_symmetry_space_group_name_H-M 'I 4/m m m'
_symmetry_Int_Tables_number 139
_symmetry_space_group_name_Hall '-I 4 2'
loop_
_atom_site_label
_atom_site_fract_x
_atom_site_fract_y
_atom_site_fract_z
Ca1 0.000 0.500 0.250
Si1 0.000 0.000 0.000
Mo1 0.000 0.000 0.500



4.
# PBE Ca2SiMo, optimized geometry
# - formation energy without anion corrections (eV per atom) = 0.467
# - D(E_F) (states/eV/f.u.) = 4.25
# - electronic total energy (eV per atom) = -4.597
# - ρ (g/cm³) = 4.02
data_Ca2SiMo
_chemical_formula_sum 'Ca4 Si2 Mo2'
_cell_length_a 5.926
_cell_length_b 9.502
_cell_length_c 2.998
_cell_angle_alpha 90.00
_cell_angle_beta 90.00
_cell_angle_gamma 90.00
_symmetry_space_group_name_H-M 'C m m m'
_symmetry_Int_Tables_number 65
_symmetry_space_group_name_Hall '-C 2 2'
loop_
_atom_site_label
_atom_site_fract_x
_atom_site_fract_y
_atom_site_fract_z
Ca1 0.250 0.250 0.000
Si1 0.000 0.000 0.500
Mo1 0.000 0.500 0.500



5.
# PBE Ca2SiMo, optimized geometry
# - formation energy without anion corrections (eV per atom) = -0.026
# - D(E_F) (states/eV/f.u.) = 1.95
# - electronic total energy (eV per atom) = -5.090
# - ρ (g/cm³) = 3.43
data_Ca2SiMo
_chemical_formula_sum 'Ca2 Si1 Mo1'
_cell_length_a 3.438
_cell_length_b 3.438
_cell_length_c 8.356
_cell_angle_alpha 90.00
_cell_angle_beta 90.00
_cell_angle_gamma 90.00
_symmetry_space_group_name_H-M 'P 4 m m'
_symmetry_Int_Tables_number 99
loop_
_symmetry_equiv_pos_as_xyz
'x,y,z'
'-y,x,z'
'-x,-y,z'
'y,-x,z'
'-x,y,z'
'y,x,z'
'x,-y,z'
'-y,-x,z'
loop_
_atom_site_label
_atom_site_fract_x
_atom_site_fract_y
_atom_site_fract_z
Ca1 0.000 0.000 0.000
Ca2 0.500 0.500 0.391
Si1 0.500 0.500 0.741
Mo1 0.000 0.000 0.656



6.
# PBE Ca2SiMo, optimized geometry
# - formation energy without anion corrections (eV per atom) = 0.433
# - D(E_F) (states/eV/f.u.) = 2.73
# - electronic total energy (eV per atom) = -4.632
# - ρ (g/cm³) = 4.10
data_Ca2SiMo
_chemical_formula_sum 'Ca4 Si2 Mo2'
_cell_length_a 4.483
_cell_length_b 4.483
_cell_length_c 8.223
_cell_angle_alpha 90.00
_cell_angle_beta 90.00
_cell_angle_gamma 90.00
_symmetry_space_group_name_H-M 'I -4 m 2'
_symmetry_Int_Tables_number 119
_symmetry_space_group_name_Hall 'I -4 -2'
loop_
_atom_site_label
_atom_site_fract_x
_atom_site_fract_y
_atom_site_fract_z
Ca1 0.000 0.000 0.000
Ca2 0.000 0.500 0.250
Si1 0.000 0.000 0.500
Mo1 0.000 0.500 0.750



7.
# PBE Ca2SiMo, optimized geometry
# - formation energy without anion corrections (eV per atom) = 0.351
# - D(E_F) (states/eV/f.u.) = 4.19
# - electronic total energy (eV per atom) = -4.713
# - ρ (g/cm³) = 4.04
data_Ca2SiMo
_chemical_formula_sum 'Ca2 Si1 Mo1'
_cell_length_a 2.976
_cell_length_b 2.976
_cell_length_c 9.481
_cell_angle_alpha 90.00
_cell_angle_beta 90.00
_cell_angle_gamma 90.00
_symmetry_space_group_name_H-M 'P 4/m m m'
_symmetry_Int_Tables_number 123
_symmetry_space_group_name_Hall '-P 4 2'
loop_
_atom_site_label
_atom_site_fract_x
_atom_site_fract_y
_atom_site_fract_z
Ca1 0.000 0.000 0.236
Si1 0.500 0.500 0.000
Mo1 0.500 0.500 0.500



8.
# PBE Ca2SiMo, optimized geometry
# - formation energy without anion corrections (eV per atom) = 0.711
# - D(E_F) (states/eV/f.u.) = 3.27
# - electronic total energy (eV per atom) = -4.353
# - ρ (g/cm³) = 3.77
data_Ca2SiMo
_chemical_formula_sum 'Ca8 Si4 Mo4'
_cell_length_a 8.185
_cell_length_b 8.185
_cell_length_c 5.372
_cell_angle_alpha 90.00
_cell_angle_beta 90.00
_cell_angle_gamma 90.00
_symmetry_space_group_name_H-M 'I -4 2 d'
_symmetry_Int_Tables_number 122
_symmetry_space_group_name_Hall 'I -4 2bw'
loop_
_atom_site_label
_atom_site_fract_x
_atom_site_fract_y
_atom_site_fract_z
Ca1 0.227 0.250 0.125
Si1 0.000 0.000 0.000
Mo1 0.000 0.000 0.500



9.
# PBE Ca2SiMo, optimized geometry
# - formation energy without anion corrections (eV per atom) = 0.450
# - D(E_F) (states/eV/f.u.) = 4.07
# - electronic total energy (eV per atom) = -4.615
# - ρ (g/cm³) = 4.10
data_Ca2SiMo
_chemical_formula_sum 'Ca2 Si1 Mo1'
_cell_length_a 4.214
_cell_length_b 4.214
_cell_length_c 4.653
_cell_angle_alpha 90.00
_cell_angle_beta 90.00
_cell_angle_gamma 90.00
_symmetry_space_group_name_H-M 'P 4/m m m'
_symmetry_Int_Tables_number 123
_symmetry_space_group_name_Hall '-P 4 2'
loop_
_atom_site_label
_atom_site_fract_x
_atom_site_fract_y
_atom_site_fract_z
Ca1 0.000 0.500 0.000
Si1 0.000 0.000 0.500
Mo1 0.500 0.500 0.500



10.
# PBE CaSiMo4, optimized geometry
# - formation energy without anion corrections (eV per atom) = 0.500
# - D(E_F) (states/eV/f.u.) = 5.34
# - electronic total energy (eV per atom) = -7.958
# - ρ (g/cm³) = 6.98
data_CaSiMo4
_chemical_formula_sum 'Ca4 Si4 Mo16'
_cell_length_a 7.548
_cell_length_b 7.548
_cell_length_c 7.548
_cell_angle_alpha 90.00
_cell_angle_beta 90.00
_cell_angle_gamma 90.00
_symmetry_space_group_name_H-M 'F -4 3 m'
_symmetry_Int_Tables_number 216
_symmetry_space_group_name_Hall 'F -4 2 3'
loop_
_atom_site_label
_atom_site_fract_x
_atom_site_fract_y
_atom_site_fract_z
Ca1 0.000 0.000 0.000
Si1 0.250 0.250 0.250
Mo1 0.124 0.124 0.624



11.
# PBE Ca4SiMo, optimized geometry
# - formation energy without anion corrections (eV per atom) = 1.029
# - D(E_F) (states/eV/f.u.) = 7.69
# - electronic total energy (eV per atom) = -3.015
# - ρ (g/cm³) = 2.70
data_Ca4SiMo
_chemical_formula_sum 'Ca16 Si4 Mo4'
_cell_length_a 8.877
_cell_length_b 8.877
_cell_length_c 8.877
_cell_angle_alpha 90.00
_cell_angle_beta 90.00
_cell_angle_gamma 90.00
_symmetry_space_group_name_H-M 'F -4 3 m'
_symmetry_Int_Tables_number 216
_symmetry_space_group_name_Hall 'F -4 2 3'
loop_
_atom_site_label
_atom_site_fract_x
_atom_site_fract_y
_atom_site_fract_z
Ca1 0.125 0.125 0.125
Si1 0.000 0.000 0.500
Mo1 0.250 0.250 0.750



12.
# PBE Ca2SiMo, optimized geometry
# - formation energy without anion corrections (eV per atom) = 0.149
# - D(E_F) (states/eV/f.u.) = 1.25
# - electronic total energy (eV per atom) = -4.915
# - ρ (g/cm³) = 3.59
data_Ca2SiMo
_chemical_formula_sum 'Ca4 Si2 Mo2'
_cell_length_a 11.160
_cell_length_b 3.532
_cell_length_c 5.274
_cell_angle_alpha 90.00
_cell_angle_beta 114.65
_cell_angle_gamma 90.00
_symmetry_space_group_name_H-M 'C 1 m 1'
_symmetry_Int_Tables_number 8
loop_
_symmetry_equiv_pos_as_xyz
'x,y,z'
'x,-y,z'
'x+1/2,y+1/2,z'
'x+1/2,-y+1/2,z'
loop_
_atom_site_label
_atom_site_fract_x
_atom_site_fract_y
_atom_site_fract_z
Ca1 0.000 0.000 0.000
Ca2 0.197 0.000 0.660
Si1 0.443 0.000 0.471
Mo1 0.291 0.500 0.241



13.
# PBE Ca2Si2Mo, optimized geometry
# - formation energy without anion corrections (eV per atom) = -0.118
# - D(E_F) (states/eV/f.u.) = 1.65
# - electronic total energy (eV per atom) = -5.254
# - ρ (g/cm³) = 3.60
data_Ca2Si2Mo
_chemical_formula_sum 'Ca4 Si4 Mo2'
_cell_length_a 6.834
_cell_length_b 6.834
_cell_length_c 4.587
_cell_angle_alpha 90.00
_cell_angle_beta 90.00
_cell_angle_gamma 90.00
_symmetry_space_group_name_H-M 'P 4/m b m'
_symmetry_Int_Tables_number 127
_symmetry_space_group_name_Hall '-P 4 2ab'
loop_
_atom_site_label
_atom_site_fract_x
_atom_site_fract_y
_atom_site_fract_z
Ca1 0.178 0.322 0.000
Si1 0.128 0.628 0.500
Mo1 0.000 0.000 0.500



14.
# PBE Ca2SiMo, optimized geometry
# - formation energy without anion corrections (eV per atom) = 0.447
# - D(E_F) (states/eV/f.u.) = 4.07
# - electronic total energy (eV per atom) = -4.617
# - ρ (g/cm³) = 4.01
data_Ca2SiMo
_chemical_formula_sum 'Ca2 Si1 Mo1'
_cell_length_a 2.962
_cell_length_b 4.563
_cell_length_c 6.260
_cell_angle_alpha 90.00
_cell_angle_beta 90.00
_cell_angle_gamma 90.00
_symmetry_space_group_name_H-M 'P m m m'
_symmetry_Int_Tables_number 47
loop_
_symmetry_equiv_pos_as_xyz
'x,y,z'
'-x,-y,-z'
'-x,-y,z'
'x,y,-z'
'x,-y,-z'
'-x,y,z'
'-x,y,-z'
'x,-y,z'
loop_
_atom_site_label
_atom_site_fract_x
_atom_site_fract_y
_atom_site_fract_z
Ca1 0.000 0.000 0.243
Si1 0.500 0.500 0.000
Mo1 0.500 0.500 0.500



15.
# PBE Ca2SiMo, optimized geometry
# - formation energy without anion corrections (eV per atom) = 0.598
# - D(E_F) (states/eV/f.u.) = 5.24
# - electronic total energy (eV per atom) = -4.466
# - ρ (g/cm³) = 3.80
data_Ca2SiMo
_chemical_formula_sum 'Ca6 Si3 Mo3'
_cell_length_a 3.2198
_cell_length_b 3.2198
_cell_length_c 29.8411
_cell_angle_alpha 90.00
_cell_angle_beta 90.00
_cell_angle_gamma 120.00
_symmetry_space_group_name_H-M 'R -3 m'
_symmetry_Int_Tables_number 166
_symmetry_space_group_name_Hall '-R 3 2"'
loop_
_atom_site_label
_atom_site_fract_x
_atom_site_fract_y
_atom_site_fract_z
Ca1 0.0000 0.0000 0.2482
Si1 0.0000 0.0000 0.5000
Mo1 0.0000 0.0000 0.0000



16.
# PBE Ca2SnMo2, optimized geometry
# - D(E_F) (states/eV/f.u.) = 6.17
# - electronic total energy (eV per atom) = -4.769
# - E_form (eV per atom) = 1.1647
# - ρ (g/cm³) = 5.82
# - polymorph energy (0 for the lowest one) (kcal/mol of atoms) = 21.85
data_Ca2SnMo2
_chemical_formula_sum 'Ca4 Sn2 Mo4'
_cell_length_a 7.783
_cell_length_b 7.783
_cell_length_c 3.681
_cell_angle_alpha 90.00
_cell_angle_beta 90.00
_cell_angle_gamma 90.00
_symmetry_space_group_name_H-M 'P 4/m b m'
_symmetry_Int_Tables_number 127
_symmetry_space_group_name_Hall '-P 4 2ab'
loop_
_atom_site_label
_atom_site_fract_x
_atom_site_fract_y
_atom_site_fract_z
Ca1 0.129 0.371 0.000
Sn1 0.000 0.000 0.000
Mo1 0.179 0.679 0.500



17.
# PBE Ca3SnMo, optimized geometry
# - D(E_F) (states/eV/f.u.) = 5.36
# - electronic total energy (eV per atom) = -3.456
# - E_form (eV per atom) = 0.7121
# - ρ (g/cm³) = 3.29
# - polymorph energy (0 for the lowest one) (kcal/mol of atoms) = 0.00
data_Ca3SnMo
_chemical_formula_sum 'Ca3 Sn1 Mo1'
_cell_length_a 5.527
_cell_length_b 5.527
_cell_length_c 5.527
_cell_angle_alpha 90.00
_cell_angle_beta 90.00
_cell_angle_gamma 90.00
_symmetry_space_group_name_H-M 'P m -3 m'
_symmetry_Int_Tables_number 221
_symmetry_space_group_name_Hall '-P 4 2 3'
loop_
_atom_site_label
_atom_site_fract_x
_atom_site_fract_y
_atom_site_fract_z
Ca1 0.000 0.000 0.500
Sn1 0.500 0.500 0.500
Mo1 0.000 0.000 0.000



18.
# PBE Ca2Sn2Mo, optimized geometry
# - D(E_F) (states/eV/f.u.) = 4.46
# - electronic total energy (eV per atom) = -4.656
# - E_form (eV per atom) = -0.0884
# - ρ (g/cm³) = 5.11
data_Ca2Sn2Mo
_chemical_formula_sum 'Ca4 Sn4 Mo2'
_cell_length_a 7.452
_cell_length_b 7.452
_cell_length_c 4.841
_cell_angle_alpha 90.00
_cell_angle_beta 90.00
_cell_angle_gamma 90.00
_symmetry_space_group_name_H-M 'P 4/m b m'
_symmetry_Int_Tables_number 127
_symmetry_space_group_name_Hall '-P 4 2ab'
loop_
_atom_site_label
_atom_site_fract_x
_atom_site_fract_y
_atom_site_fract_z
Ca1 0.172 0.328 0.000
Sn1 0.140 0.640 0.500
Mo1 0.000 0.000 0.500



19.
# PBE CaSnMo2, optimized geometry
# - D(E_F) (states/eV/f.u.) = 3.13
# - electronic total energy (eV per atom) = -5.942
# - E_form (eV per atom) = 0.9749
# - ρ (g/cm³) = 6.60
data_CaSnMo2
_chemical_formula_sum 'Ca4 Sn4 Mo8'
_cell_length_a 7.955
_cell_length_b 7.955
_cell_length_c 5.578
_cell_angle_alpha 90.00
_cell_angle_beta 90.00
_cell_angle_gamma 90.00
_symmetry_space_group_name_H-M 'I -4 2 d'
_symmetry_Int_Tables_number 122
_symmetry_space_group_name_Hall 'I -4 2bw'
loop_
_atom_site_label
_atom_site_fract_x
_atom_site_fract_y
_atom_site_fract_z
Ca1 0.000 0.000 0.000
Sn1 0.000 0.000 0.500
Mo1 0.214 0.250 0.625



20.
# PBE Ca3SnMo, optimized geometry
# - D(E_F) (states/eV/f.u.) = 3.92
# - electronic total energy (eV per atom) = -3.432
# - E_form (eV per atom) = 0.7355
# - ρ (g/cm³) = 2.68
# - polymorph energy (0 for the lowest one) (kcal/mol of atoms) = 0.54
data_Ca3SnMo
_chemical_formula_sum 'Ca3 Sn1 Mo1'
_cell_length_a 5.921
_cell_length_b 5.921
_cell_length_c 5.921
_cell_angle_alpha 90.00
_cell_angle_beta 90.00
_cell_angle_gamma 90.00
_symmetry_space_group_name_H-M 'P m -3 m'
_symmetry_Int_Tables_number 221
_symmetry_space_group_name_Hall '-P 4 2 3'
loop_
_atom_site_label
_atom_site_fract_x
_atom_site_fract_y
_atom_site_fract_z
Ca1 0.000 0.000 0.500
Sn1 0.000 0.000 0.000
Mo1 0.500 0.500 0.500